Entry P
ReTc2Ru (PBE, relaxed); SG = No. 119
1.0
4.742 -0.009 0.004
1.588 4.469 -0.004
-3.168 -2.226 2.740
Re Ru Tc
1 1 2
direct
0.500 0.500 0.000
0.250 0.750 0.500
0.000 0.000 0.000
0.750 0.250 0.500

***

Entry Q
ReTc2Ru (PBE, relaxed); SG = No. 8
1.0
-2.489 -1.177 0.047
1.804 -3.918 -2.046
3.287 -3.425 7.613
Tc Re Ru
4 2 2
direct
0.169 0.690 0.822
0.914 0.107 0.314
0.414 0.607 0.314
0.669 0.190 0.822
0.543 0.897 0.572
0.043 0.397 0.572
0.294 0.981 0.075
0.794 0.481 0.075

***

Of them, entry P has the lowest stability.

***

Entry P
Re2TcRu (PBE, relaxed); SG = No. 69
1.0
-3.053 -0.788 -3.560
1.434 -3.778 -2.507
-0.666 0.643 4.662
Ru Re Tc
1 2 1
direct
0.250 0.750 0.500
0.500 0.500 0.000
0.000 0.000 0.000
0.750 0.250 0.500

***

Entry Q
Re2TcRu (PBE, relaxed); SG = No. 122
1.0
5.602 0.000 0.000
0.000 5.602 0.000
2.801 2.801 5.550
Ru Re Tc
2 4 2
direct
0.000 0.000 0.000
0.750 0.250 0.500
0.121 0.625 0.250
0.875 0.879 0.750
0.375 0.371 0.750
0.629 0.125 0.250
0.500 0.500 0.000
0.250 0.750 0.500

***

Of them, entry Q has the lowest stability.

***

Entry P
Re2TcRu (PBE, relaxed); SG = No. 25
1.0
2.741 0.000 0.000
0.000 3.874 0.000
0.000 0.000 5.516
Re Ru Tc
2 1 1
direct
0.000 0.000 0.998
0.500 0.500 0.254
0.000 0.000 0.500
0.500 0.500 0.748

***

Entry Q
Re2TcRu (PBE, relaxed); SG = No. 47
1.0
-2.430 1.629 2.564
-0.919 -2.482 0.706
2.956 -2.810 4.587
Re Tc Ru
2 1 1
direct
0.000 0.998 0.001
0.000 0.502 0.499
0.500 0.750 0.750
0.500 0.250 0.250

***

Entry R
Re2TcRu (PBE, relaxed); SG = No. 123
1.0
-1.164 2.231 -2.052
1.771 -1.283 -2.400
-4.282 -3.445 -1.317
Ru Tc Re
1 1 2
direct
0.500 0.500 0.250
0.500 0.500 0.750
0.000 0.000 0.011
0.000 0.000 0.489

***

Of them, entry R has the lowest stability.

***

Entry P
Re2TcRu (PBE, relaxed); SG = No. 38
1.0
-3.040 -2.118 2.151
-1.175 -0.720 -2.370
2.247 -4.557 -1.312
Re Ru Tc
2 1 1
direct
0.000 0.190 0.994
0.500 0.059 0.260
0.000 0.453 0.471
0.500 0.799 0.776

***

Entry Q
Re2TcRu (PBE, relaxed); SG = No. 65
1.0
4.760 0.006 0.000
-1.584 4.489 0.000
0.000 0.000 2.738
Ru Re Tc
1 2 1
direct
0.500 0.000 0.500
0.000 0.000 0.000
0.500 0.500 0.000
0.000 0.500 0.500

***

Entry R
Re2TcRu (PBE, relaxed); SG = No. 166
1.0
-6.266 1.992 6.339
-4.672 0.341 7.840
-4.057 3.004 7.611
Re Ru Tc
2 1 1
direct
0.500 0.500 0.500
0.000 0.000 0.000
0.250 0.250 0.250
0.750 0.750 0.750

***

Entry S
Re2TcRu (PBE, relaxed); SG = No. 99
1.0
-2.032 1.112 2.235
-1.734 -2.702 -0.232
3.227 -2.426 4.139
Tc Ru Re
1 1 2
direct
0.500 0.500 0.751
0.000 0.000 0.474
0.000 0.000 0.997
0.500 0.500 0.277

***

Of them, entry S has the lowest stability.

***

Entry P
ReTc2Ru2 (PBE, relaxed); SG = No. 127
1.0
7.316 0.000 0.000
0.000 7.316 0.000
0.000 0.000 2.776
Tc Ru Re
4 4 2
direct
0.328 0.172 0.500
0.828 0.328 0.500
0.672 0.828 0.500
0.172 0.672 0.500
0.375 0.875 0.000
0.875 0.625 0.000
0.125 0.375 0.000
0.625 0.125 0.000
0.000 0.000 0.000
0.500 0.500 0.000

***

Entry Q
ReTc2Ru2 (PBE, relaxed); SG = No. 63
1.0
-4.666 0.044 -0.963
-3.962 1.003 7.457
-3.373 4.383 4.757
Ru Re Tc
4 2 4
direct
0.931 0.250 0.549
0.270 0.750 0.049
0.730 0.250 0.951
0.069 0.750 0.451
0.332 0.250 0.750
0.668 0.750 0.250
0.470 0.750 0.650
0.530 0.250 0.350
0.870 0.750 0.850
0.130 0.250 0.150

***

Of them, entry P has the lowest stability.

***

Entry P
Re3Tc4Ru2 (PBE, relaxed); SG = No. 15
1.0
4.735 0.157 0.112
0.475 7.523 -0.977
0.475 1.499 7.436
Tc Re Ru
8 6 4
direct
0.047 0.705 0.139
0.547 0.139 0.705
0.453 0.861 0.295
0.412 0.487 0.851
0.088 0.149 0.513
0.912 0.851 0.487
0.588 0.513 0.149
0.953 0.295 0.861
0.060 0.961 0.836
0.560 0.836 0.961
0.440 0.164 0.039
0.940 0.039 0.164
0.250 0.550 0.450
0.750 0.450 0.550
0.574 0.215 0.360
0.074 0.360 0.215
0.426 0.785 0.640
0.926 0.640 0.785

***

Entry Q
Re3Tc4Ru2 (PBE, relaxed); SG = No. 15
1.0
4.652 0.084 0.408
0.537 7.332 2.782
0.229 -0.215 7.854
Re Ru Tc
6 4 8
direct
0.562 0.716 0.937
0.938 0.063 0.284
0.438 0.284 0.063
0.250 0.349 0.651
0.062 0.937 0.716
0.750 0.651 0.349
0.187 0.706 0.510
0.313 0.490 0.294
0.687 0.510 0.706
0.813 0.294 0.490
0.052 0.819 0.066
0.346 0.139 0.426
0.948 0.181 0.934
0.154 0.574 0.861
0.552 0.066 0.819
0.654 0.861 0.574
0.846 0.426 0.139
0.448 0.934 0.181

***

Of them, entry Q has the lowest stability.

***

Entry P
Re4TcRu (PBE, relaxed); SG = No. 216
1.0
-5.097 0.017 -0.164
-2.672 1.803 3.952
-2.523 4.411 -0.428
Tc Ru Re
1 1 4
direct
0.000 0.000 0.000
0.750 0.750 0.750
0.375 0.874 0.375
0.375 0.375 0.874
0.375 0.375 0.375
0.874 0.375 0.375

***

Entry Q
Re4TcRu (PBE, relaxed); SG = No. 30
1.0
4.645 0.000 0.000
0.000 4.285 0.000
0.000 0.000 10.445
Tc Re Ru
2 8 2
direct
0.500 0.500 0.720
0.000 0.500 0.220
0.252 0.366 0.931
0.748 0.634 0.931
0.247 0.864 0.569
0.747 0.136 0.069
0.752 0.634 0.431
0.753 0.136 0.569
0.248 0.366 0.431
0.253 0.864 0.069
0.000 0.000 0.780
0.500 0.000 0.280

***

Entry R
Re4TcRu (PBE, relaxed); SG = No. 15
1.0
5.103 0.230 -0.510
-1.528 6.686 -1.349
0.126 0.231 5.127
Re Ru Tc
8 2 2
direct
0.168 0.001 0.334
0.624 0.875 0.125
0.875 0.625 0.376
0.376 0.125 0.875
0.334 0.501 0.168
0.666 0.499 0.832
0.125 0.375 0.624
0.832 0.999 0.666
0.585 0.250 0.415
0.415 0.750 0.585
0.917 0.250 0.083
0.083 0.750 0.917

***

Of them, entry Q has the lowest stability.

***

Entry P
Ti2ReRu (PBE, relaxed); SG = No. 225
1.0
0.000 3.100 3.100
3.100 0.000 3.100
3.100 3.100 0.000
Ti Re Ru
2 1 1
direct
0.250 0.250 0.250
0.750 0.750 0.750
0.500 0.500 0.500
0.000 0.000 0.000

***

Entry Q
Ti2ReRu (PBE, relaxed); SG = No. 123
1.0
-2.625 1.176 -1.143
-0.261 -2.429 -1.901
-3.257 -3.048 4.341
Re Ti Ru
1 2 1
direct
0.500 0.500 0.500
0.000 0.000 0.751
0.000 0.000 0.249
0.500 0.500 0.000

***

Entry R
Ti2ReRu (PBE, relaxed); SG = No. 122
1.0
-5.658 -2.850 2.717
3.913 -3.543 4.434
-1.044 -1.166 5.349
Ti Ru Re
4 2 2
direct
0.135 0.625 0.250
0.615 0.125 0.250
0.875 0.865 0.750
0.375 0.385 0.750
0.500 0.500 0.000
0.250 0.750 0.500
0.750 0.250 0.500
0.000 0.000 0.000

***

Of them, entry R has the lowest stability.

***

Entry P
TiRe3Ru (PBE, relaxed); SG = No. 221
1.0
-0.362 2.219 -4.041
-3.002 -3.190 -1.483
-3.500 2.507 1.690
Ru Re Ti
1 3 1
direct
0.000 0.000 0.000
0.500 0.000 0.000
0.000 0.500 0.000
0.000 0.000 0.500
0.500 0.500 0.500

***

Entry Q
TiRe3Ru (PBE, relaxed); SG = No. 221
1.0
4.455 0.000 0.000
0.000 4.455 0.000
0.000 0.000 4.455
Re Ru Ti
3 1 1
direct
0.500 0.000 0.000
0.000 0.500 0.000
0.000 0.000 0.500
0.500 0.500 0.500
0.000 0.000 0.000

***

Of them, entry Q has the lowest stability.

***

Entry P
TiRe2Ru (PBE, relaxed); SG = No. 122
1.0
7.190 0.000 0.000
0.000 7.190 0.000
3.595 3.595 2.541
Re Ti Ru
4 2 2
direct
0.875 0.896 0.750
0.375 0.354 0.750
0.104 0.625 0.250
0.646 0.125 0.250
0.500 0.500 0.000
0.250 0.750 0.500
0.750 0.250 0.500
0.000 0.000 0.000

***

Entry Q
TiRe2Ru (PBE, relaxed); SG = No. 225
1.0
-2.469 -2.248 -2.839
-3.093 2.059 -2.324
0.527 0.592 -4.311
Re Ru Ti
2 1 1
direct
0.750 0.750 0.750
0.250 0.250 0.250
0.500 0.500 0.500
0.000 0.000 0.000

***

Of them, entry P has the lowest stability.